[1]
VASP calculation (PBE-GGA) on a geometry-optimized BaCaB2O5 structure.

Calculated values
V, Å³ per atom: 14.3
Raw formation energy, kcal/mol of atoms: -64.99
Space group: P2_1/c (14)

a = 6.6618 Å, b = 7.9496 Å, c = 20.8643 Å
α = 90.00°, β = 90.00°, γ = 111.45°
Closest atoms and distances in Å follow each position.
Element x y z (fractional)
O (0.6693, 0.8900, 0.5029)  1 B 1.37
O (0.6216, 0.9298, 0.8434)  1 B 1.36
O (0.1884, 0.2282, 0.4089)  2 B 1.44-1.46
O (0.3732, 0.5479, 0.3953)  1 B 1.36
O (0.8732, 0.0479, 0.1047)  1 B 1.36
O (0.7006, 0.9274, 0.0031)  1 B 1.36
O (0.8688, 0.5728, 0.8449)  1 B 1.37
O (0.1216, 0.4298, 0.6566)  1 B 1.36
O (0.2006, 0.7462, 0.1588)  2 B 1.44-1.45
O (0.3307, 0.1100, 0.4971)  1 B 1.37
O (0.6241, 0.4099, 0.0857)  1 B 1.37
O (0.1312, 0.4272, 0.1551)  1 B 1.37
O (0.6268, 0.4521, 0.6047)  1 B 1.36
O (0.3069, 0.5785, 0.7522)  1 B 1.37
O (0.2994, 0.0726, 0.9969)  1 B 1.36
O (0.8759, 0.0901, 0.5857)  1 B 1.37
O (0.7994, 0.2538, 0.8412)  2 B 1.44-1.45
O (0.8784, 0.5702, 0.3434)  1 B 1.36
O (0.1268, 0.9521, 0.8953)  1 B 1.36
O (0.6884, 0.7282, 0.0911)  2 B 1.44-1.46
O (0.2994, 0.7538, 0.6588)  2 B 1.44-1.45
O (0.3784, 0.0702, 0.1566)  1 B 1.36
O (0.6312, 0.9272, 0.3449)  1 B 1.37
O (0.3688, 0.0728, 0.6551)  1 B 1.37
O (0.6931, 0.4215, 0.2478)  1 B 1.37
O (0.2006, 0.4274, 0.4969)  1 B 1.36
O (0.3116, 0.2718, 0.9089)  2 B 1.44-1.46
O (0.8069, 0.0785, 0.7478)  1 B 1.37
O (0.3759, 0.5901, 0.9143)  1 B 1.37
O (0.1241, 0.9099, 0.4143)  1 B 1.37
O (0.3248, 0.6074, 0.2447)  1 B 1.37
O (0.7994, 0.5726, 0.5031)  1 B 1.36
O (0.1752, 0.8926, 0.7447)  1 B 1.37
O (0.8116, 0.7718, 0.5911)  2 B 1.44-1.46
O (0.7006, 0.2462, 0.3412)  2 B 1.44-1.45
O (0.1931, 0.9215, 0.2522)  1 B 1.37
O (0.1693, 0.3900, 0.9971)  1 B 1.37
O (0.6752, 0.3926, 0.7553)  1 B 1.37
O (0.8307, 0.6100, 0.0029)  1 B 1.37
O (0.8248, 0.1074, 0.2553)  1 B 1.37
Ca (0.7573, 0.7635, 0.9147)  6 O 2.36-2.41
Ca (0.7476, 0.2485, 0.6637)  6 O 2.34-2.40
Ca (0.2427, 0.2365, 0.0853)  6 O 2.36-2.41
Ca (0.7524, 0.2515, 0.1637)  6 O 2.34-2.40
Ca (0.2476, 0.7485, 0.8363)  6 O 2.34-2.40
Ca (0.7427, 0.7365, 0.4147)  6 O 2.36-2.41
Ca (0.2573, 0.2635, 0.5853)  6 O 2.36-2.41
Ca (0.2524, 0.7515, 0.3363)  6 O 2.34-2.40
B (0.7833, 0.4133, 0.8122)  3 O 1.37-1.44
B (0.2657, 0.9198, 0.1911)  3 O 1.36-1.45
B (0.7167, 0.0867, 0.3122)  3 O 1.37-1.44
B (0.2167, 0.5867, 0.1878)  3 O 1.37-1.44
B (0.7139, 0.5775, 0.0586)  3 O 1.37-1.44
B (0.7361, 0.5895, 0.5640)  3 O 1.36-1.46
B (0.7343, 0.0802, 0.8089)  3 O 1.36-1.45
B (0.2861, 0.4225, 0.9414)  3 O 1.37-1.44
B (0.2343, 0.5802, 0.6911)  3 O 1.36-1.45
B (0.2833, 0.9133, 0.6878)  3 O 1.37-1.44
B (0.2361, 0.0895, 0.9360)  3 O 1.36-1.46
B (0.7657, 0.4198, 0.3089)  3 O 1.36-1.45
B (0.7861, 0.9225, 0.5586)  3 O 1.37-1.44
B (0.2139, 0.0775, 0.4414)  3 O 1.37-1.44
B (0.7639, 0.9105, 0.0640)  3 O 1.36-1.46
B (0.2639, 0.4105, 0.4360)  3 O 1.36-1.46
Ba (0.2607, 0.7392, 0.0294)  6 O 2.66-2.90
Ba (0.2408, 0.2322, 0.7785)  5 O 2.67-2.77
Ba (0.7607, 0.2392, 0.4706)  6 O 2.66-2.90
Ba (0.2393, 0.7608, 0.5294)  6 O 2.66-2.90
Ba (0.7393, 0.2608, 0.9706)  6 O 2.66-2.90
Ba (0.7592, 0.7678, 0.2215)  5 O 2.67-2.77
Ba (0.7408, 0.7322, 0.7215)  5 O 2.67-2.77
Ba (0.2592, 0.2678, 0.2785)  5 O 2.67-2.77


[2]
VASP calculation (PBE-GGA) on a geometry-optimized BaCaB2Pd structure.

Calculated values
V, Å³ per atom: 20.1
Formation energy from the elements, eV/atom: 0.645
Space group: P4/mmm (123)

a = 4.4407 Å, b = 5.0965 Å, c = 4.4407 Å
α = 90.00°, β = 90.00°, γ = 90.00°
Closest atoms and distances in Å follow each position.
Element x y z (fractional)
Ba (0.5000, 0.5000, 0.5000)  4 Ca 3.14, 8 B 3.38
Pd (0.0000, 0.0000, 0.0000)  4 B 2.22
Ca (0.0000, 0.5000, 0.0000)  2 Pd 2.55
B (0.5000, 0.0000, 0.0000)  2 Pd 2.22
B (0.0000, 0.0000, 0.5000)  2 Pd 2.22


[3]
VASP calculation (PBE-GGA) on a geometry-optimized Ba2CaB2S6 structure.

Calculated values
V, Å³ per atom: 24.7
Raw formation energy, kcal/mol of atoms: -31.95
Space group: C2/m (12)

a = 6.5958 Å, b = 6.6755 Å, c = 8.1143 Å
α = 114.93°, β = 90.00°, γ = 119.61°
Closest atoms and distances in Å follow each position.
Element x y z (fractional)
S (0.2820, 0.0882, 0.7967)  1 B 1.83
S (0.1938, 0.9118, 0.2033)  1 B 1.83
S (0.8062, 0.0882, 0.7967)  1 B 1.83
S (0.7180, 0.9118, 0.2033)  1 B 1.83
S (0.7752, 0.5505, 0.6523)  1 B 1.82
S (0.2248, 0.4495, 0.3477)  1 B 1.82
B (0.9527, 0.9054, 0.7474)  3 S 1.82-1.83
B (0.0473, 0.0946, 0.2526)  3 S 1.82-1.83
Ba (0.2920, 0.5841, 0.7934)  9 S 3.29-3.47
Ba (0.7080, 0.4159, 0.2066)  9 S 3.29-3.47
Ca (0.5000, 0.0000, 0.5000)  6 S 2.80-2.81


[4]
VASP calculation (PBE-GGA) on a geometry-optimized BaCaB2Sb structure.

Calculated values
V, Å³ per atom: 32.4
Raw formation energy, kcal/mol of atoms: 35.66
Space group: P4/mmm (123)

a = 5.0625 Å, b = 6.3168 Å, c = 5.0625 Å
α = 90.00°, β = 90.00°, γ = 90.00°
Closest atoms and distances in Å follow each position.
Element x y z (fractional)
B (0.0000, 0.0000, 0.5000)  2 Ba 2.53
B (0.5000, 0.0000, 0.0000)  2 Ba 2.53
Ba (0.0000, 0.0000, 0.0000)  4 B 2.53
Ca (0.5000, 0.5000, 0.5000)  4 Sb 3.58
Sb (0.0000, 0.5000, 0.0000)  2 Ba 3.16


[5]
VASP calculation (PBE-GGA) on a geometry-optimized BaSr2CaB structure.

Calculated values
V, Å³ per atom: 45.5
Formation energy from the elements, eV/atom: 1.080
Space group: P4/mmm (123)

a = 6.8759 Å, b = 4.8074 Å, c = 6.8759 Å
α = 90.00°, β = 90.00°, γ = 90.00°
Closest atoms and distances in Å follow each position.
Element x y z (fractional)
Ca (0.5000, 0.5000, 0.5000)  8 Sr 4.19
Sr (0.0000, 0.0000, 0.5000)  2 Ba 3.44
Sr (0.5000, 0.0000, 0.0000)  2 Ba 3.44
Ba (0.0000, 0.0000, 0.0000)  2 B 2.40
B (0.0000, 0.5000, 0.0000)  2 Ba 2.40


[6]
VASP calculation (PBE-GGA) on a geometry-optimized BaCa2TiB structure.

Calculated values
V, Å³ per atom: 35.0
Formation energy from the elements, eV/atom: 2.108
Space group: P4/mmm (123)

a = 5.9385 Å, b = 4.9595 Å, c = 5.9385 Å
α = 90.00°, β = 90.00°, γ = 90.00°
Closest atoms and distances in Å follow each position.
Element x y z (fractional)
B (0.5000, 0.5000, 0.5000)  8 Ca 3.87, 4 Ti 4.20
Ca (0.0000, 0.0000, 0.5000)  2 Ba 2.97
Ca (0.5000, 0.0000, 0.0000)  2 Ba 2.97
Ba (0.0000, 0.0000, 0.0000)  2 Ti 2.48
Ti (0.0000, 0.5000, 0.0000)  2 Ba 2.48


[7]
VASP calculation (PBE-GGA) on a geometry-optimized BaCd2B structure.

Calculated values
V, Å³ per atom: 29.1
Formation energy from the elements, eV/atom: 0.380
Space group: I4_1/amd (141)

a = 5.7653 Å, b = 5.7653 Å, c = 8.1064 Å
α = 69.17°, β = 69.17°, γ = 90.00°
Closest atoms and distances in Å follow each position.
Element x y z (fractional)
Cd (0.8750, 0.6250, 0.7500)  2 B 2.27
Cd (0.3750, 0.6250, 0.2500)  2 B 2.27
Cd (0.3750, 0.1250, 0.2500)  2 B 2.27
Cd (0.3750, 0.6250, 0.7500)  2 B 2.27
B (0.5000, 0.5000, 0.0000)  4 Cd 2.27
B (0.2500, 0.7500, 0.5000)  4 Cd 2.27
Ba (0.7500, 0.2500, 0.5000)  8 Cd 3.67, 4 B 4.08
Ba (0.0000, 0.0000, 0.0000)  8 Cd 3.67, 4 B 4.08


[8]
VASP calculation (PBE-GGA) on a geometry-optimized BaCd3B structure.

Calculated values
Energy above the most stable polymorph in this dataset, meV/atom: 0.0
V, Å³ per atom: 24.7
Formation energy from the elements, eV/atom: 0.348
Space group: Pm-3m (221)

a = 4.9773 Å, b = 4.9773 Å, c = 4.9773 Å
α = 90.00°, β = 90.00°, γ = 90.00°
Closest atoms and distances in Å follow each position.
Element x y z (fractional)
Cd (0.0000, 0.0000, 0.5000)  2 B 2.49
Cd (0.0000, 0.5000, 0.0000)  2 B 2.49
Cd (0.5000, 0.0000, 0.0000)  2 B 2.49
B (0.0000, 0.0000, 0.0000)  6 Cd 2.49
Ba (0.5000, 0.5000, 0.5000)  12 Cd 3.52


Number 1: total DFT energy (no corrections) -7.493 eV per atom. Number 2: total DFT energy (no corrections) -3.850 eV per atom. Number 3: total DFT energy (no corrections) -5.383 eV per atom. Number 4: total DFT energy (no corrections) -2.734 eV per atom. Number 5: total DFT energy (no corrections) -1.713 eV per atom. Number 6: total DFT energy (no corrections) -1.991 eV per atom. Number 7: total DFT energy (no corrections) -2.227 eV per atom. Number 8: total DFT energy (no corrections) -1.921 eV per atom.